POs3Se | GGA-PBE | optimized geometry

a b c (Å): 4.4002 4.4002 4.4002
angles (deg): 90.00 90.00 90.00
Last column: nearest neighbours and their distance in Å.
Fractional coordinates of all 5 atoms:
Os  0.0000  0.0000  0.5000  2 P 2.20
Os  0.5000  0.0000  0.0000  2 P 2.20
Os  0.0000  0.5000  0.0000  2 P 2.20
P  0.0000  0.0000  0.0000  6 Os 2.20
Se  0.5000  0.5000  0.5000  12 Os 3.11

E_form (uncorrected): 6.3 eV/f.u.